Below is a relaxed structure of ZnFeCl2, with properties calculated at the PBE level.

Final energy, eV per atom: -3.72
Spin magnetization, μB per atom: 0.7991
E above lowest polymorph, meV per atom: 0.0
Crystal system: trigonal
Raw formation energy, eV per atom: -0.360

Unit cell a=8.9291 b=8.9291 c=8.9291 alpha=21.44 beta=21.44 gamma=21.44
Last column: nearest neighbours and their distance in Å.
Positions (direct):
Zn 0.0000 0.0000 0.0000  3 Cl 2.45
Fe 0.2583 0.2583 0.2583  3 Cl 2.39
Cl 0.5370 0.5370 0.5370  3 Fe 2.39
Cl 0.7249 0.7249 0.7249  3 Zn 2.45